Record 1
Compound: Ba2AgHg3
Source: the Alexandria database
Functional: PBE-GGA
Structure: relaxed

Computed properties:
ΔE_f: -0.44 eV per atom
volume: 195.8 Å³/f.u.
D(E_F): 0.62 states/eV/atom

a = 5.124 Å, b = 6.690 Å, c = 6.697 Å
α = 79.88°, β = 67.51°, γ = 67.48°
Sites, in units of the cell vectors:
1 Ba 0.502 0.248 0.749
2 Ba 0.498 0.753 0.252
3 Ag 0.169 0.334 0.328
4 Hg 0.843 0.655 0.659
5 Hg 0.824 0.179 0.173
6 Hg 0.165 0.832 0.838

---

Record 2
Compound: BaAgHg2
Source: the Alexandria database
Functional: PBE-GGA
Structure: relaxed

Computed properties:
ΔE_f: -0.24 eV per atom
volume: 122.5 Å³/f.u.
D(E_F): 0.69 states/eV/atom

a = 4.893 Å, b = 4.890 Å, c = 5.121 Å
α = 90.00°, β = 90.00°, γ = 90.00°
Sites, in units of the cell vectors:
1 Hg 0.000 0.000 0.000
2 Hg 0.500 0.500 0.000
3 Ag 0.500 0.000 0.500
4 Ba 0.000 0.500 0.500

---

Record 3
Compound: BaHoAgHg
Source: the Alexandria database
Functional: PBE-GGA
Structure: relaxed

Computed properties:
ΔE_f: -0.22 eV per atom
volume: 119.7 Å³/f.u.
D(E_F): 0.98 states/eV/atom

a = 5.532 Å, b = 5.532 Å, c = 5.532 Å
α = 60.00°, β = 60.00°, γ = 60.00°
Sites, in units of the cell vectors:
1 Ba 0.500 0.500 0.500
2 Hg 0.750 0.750 0.750
3 Ag 0.250 0.250 0.250
4 Ho 0.000 0.000 0.000

---

Record 4
Compound: Ba8AgHg3I4
Source: the Alexandria database
Functional: PBE-GGA
Structure: relaxed

Computed properties:
ΔE_f (raw): -0.875 eV per atom
volume: 727.7 Å³/f.u.
D(E_F): 0.93 states/eV/atom

a = 9.649 Å, b = 10.607 Å, c = 9.648 Å
α = 117.05°, β = 120.00°, γ = 90.00°
Sites, in units of the cell vectors:
1 Ba 0.240 0.721 0.981
2 Ba 0.240 0.721 0.479
3 Ba 0.258 0.273 0.515
4 Ba 0.742 0.721 0.981
5 Ba 0.258 0.279 0.019
6 Ba 0.742 0.727 0.485
7 Ba 0.760 0.279 0.521
8 Ba 0.760 0.279 0.019
9 Ag 0.000 0.500 0.000
10 Hg 0.500 0.500 0.000
11 Hg 0.500 0.500 0.500
12 Hg 0.000 0.500 0.500
13 I 0.500 0.000 0.000
14 I 0.500 0.000 0.500
15 I 0.000 0.000 0.000
16 I 0.000 0.000 0.500

---

Record 5
Compound: Ba6Ag2HgI3
Source: the Alexandria database
Functional: PBE-GGA
Structure: relaxed

Computed properties:
ΔE_f (raw): -0.828 eV per atom
volume: 542.0 Å³/f.u.
D(E_F): 0.64 states/eV/atom

a = 8.355 Å, b = 8.355 Å, c = 9.387 Å
α = 98.53°, β = 98.53°, γ = 119.99°
Sites, in units of the cell vectors:
1 Ba 0.928 0.591 0.784
2 Ba 0.736 0.736 0.217
3 Ba 0.072 0.409 0.216
4 Ba 0.591 0.928 0.784
5 Ba 0.264 0.264 0.783
6 Ba 0.409 0.072 0.216
7 Ag 0.334 0.666 0.000
8 Ag 0.666 0.334 0.000
9 Hg 0.000 0.000 0.000
10 I 0.167 0.833 0.500
11 I 0.833 0.167 0.500
12 I 0.500 0.500 0.500

---

Record 6
Compound: Ba2In3Ag4Hg
Source: the Alexandria database
Functional: PBE-GGA
Structure: relaxed

Computed properties:
ΔE_f: -0.27 eV per atom
volume: 278.4 Å³/f.u.
D(E_F): 0.75 states/eV/atom

a = 4.837 Å, b = 4.837 Å, c = 11.899 Å
α = 90.00°, β = 90.00°, γ = 90.00°
Sites, in units of the cell vectors:
1 Ba 0.500 0.000 0.247
2 Ba 0.000 0.500 0.753
3 In 0.000 0.000 0.500
4 In 0.500 0.000 0.876
5 In 0.000 0.500 0.124
6 Ag 0.500 0.500 0.000
7 Ag 0.000 0.000 0.000
8 Ag 0.500 0.000 0.639
9 Ag 0.000 0.500 0.361
10 Hg 0.500 0.500 0.500

---

Repeat the sixth record exactly.
Compound: Ba2In3Ag4Hg
Source: the Alexandria database
Functional: PBE-GGA
Structure: relaxed

Computed properties:
ΔE_f: -0.27 eV per atom
volume: 278.4 Å³/f.u.
D(E_F): 0.75 states/eV/atom

a = 4.837 Å, b = 4.837 Å, c = 11.899 Å
α = 90.00°, β = 90.00°, γ = 90.00°
Sites, in units of the cell vectors:
1 Ba 0.500 0.000 0.247
2 Ba 0.000 0.500 0.753
3 In 0.000 0.000 0.500
4 In 0.500 0.000 0.876
5 In 0.000 0.500 0.124
6 Ag 0.500 0.500 0.000
7 Ag 0.000 0.000 0.000
8 Ag 0.500 0.000 0.639
9 Ag 0.000 0.500 0.361
10 Hg 0.500 0.500 0.500

---

- The highest volume belongs to which entry?
  Ba8AgHg3I4

---

What did the fifth record say?
Compound: Ba6Ag2HgI3
Source: the Alexandria database
Functional: PBE-GGA
Structure: relaxed

Computed properties:
ΔE_f (raw): -0.828 eV per atom
volume: 542.0 Å³/f.u.
D(E_F): 0.64 states/eV/atom

a = 8.355 Å, b = 8.355 Å, c = 9.387 Å
α = 98.53°, β = 98.53°, γ = 119.99°
Sites, in units of the cell vectors:
1 Ba 0.928 0.591 0.784
2 Ba 0.736 0.736 0.217
3 Ba 0.072 0.409 0.216
4 Ba 0.591 0.928 0.784
5 Ba 0.264 0.264 0.783
6 Ba 0.409 0.072 0.216
7 Ag 0.334 0.666 0.000
8 Ag 0.666 0.334 0.000
9 Hg 0.000 0.000 0.000
10 I 0.167 0.833 0.500
11 I 0.833 0.167 0.500
12 I 0.500 0.500 0.500